A geometry-optimized Nd2TiZnO6 structure, computed with PBE-GGA.

```
Nd2TiZnO6
1.0
5.497 0.000 -0.005
0.000 5.743 0.000
0.041 0.000 7.861
Zn O Ti Nd
2 12 2 4
direct
0.000 0.500 0.500
0.500 0.000 0.000
0.290 0.691 0.049
0.901 0.532 0.241
0.401 0.968 0.741
0.210 0.191 0.451
0.710 0.309 0.951
0.599 0.032 0.259
0.190 0.212 0.054
0.099 0.468 0.759
0.690 0.288 0.554
0.310 0.712 0.446
0.810 0.788 0.946
0.790 0.809 0.549
0.500 0.000 0.500
0.000 0.500 0.000
0.985 0.061 0.749
0.515 0.561 0.751
0.015 0.939 0.251
0.485 0.439 0.249
```

ρ ... 6.7 g cm⁻³
Formation energy without anion corrections ... -2.926 eV/atom
SG ... P2_1/c, No. 14



A geometry-optimized Nd4Zr3TiO14 structure, computed with PBE-GGA.

```
Nd4Zr3TiO14
1.0
-3.986 -3.589 5.336
3.141 -5.671 3.902
1.744 0.938 7.303
O Ti Nd Zr
14 1 4 3
direct
0.661 0.084 0.661
0.374 0.374 0.374
0.626 0.626 0.626
0.924 0.318 0.924
0.661 0.661 0.084
0.076 0.682 0.076
0.318 0.924 0.924
0.339 0.339 0.916
0.916 0.339 0.339
0.076 0.076 0.682
0.924 0.924 0.318
0.339 0.916 0.339
0.084 0.661 0.661
0.682 0.076 0.076
0.000 0.000 0.000
0.500 0.500 0.500
0.500 0.500 0.000
0.000 0.500 0.500
0.500 0.000 0.500
0.500 0.000 0.000
0.000 0.500 0.000
0.000 0.000 0.500
```

ρ ... 6.1 g cm⁻³
Formation energy without anion corrections ... -3.358 eV/atom
SG ... R-3m, No. 166



A geometry-optimized NdZrTi2O8 structure, computed with PBE-GGA.

```
NdZrTi2O8
1.0
-4.691 -1.944 -0.845
-0.731 -0.442 5.076
0.571 6.298 -1.979
Nd O Ti Zr
1 8 2 1
direct
0.750 0.250 0.500
0.161 0.605 0.844
0.081 0.993 0.683
0.007 0.398 0.317
0.683 0.239 0.844
0.310 0.919 0.317
0.602 0.690 0.683
0.395 0.317 0.156
0.761 0.839 0.156
0.500 0.500 0.000
0.250 0.750 0.500
0.000 0.000 0.000
```

ρ ... 5.2 g cm⁻³
Formation energy without anion corrections ... -2.989 eV/atom
SG ... I-4, No. 82



Question: What is the formula in the third record?
Answer: NdZrTi2O8



Question: Among the records above, which one has the highest ρ?
Answer: Nd2TiZnO6



Question: Among the records above, which one has the highest ρ?
Answer: Nd2TiZnO6